Entry 1:
Here is a geometry-optimized ZnOs4Au structure from the Alexandria database. Energies are from GGA-PBE.

abc: 5.1810 5.1810 5.1810
angles: 60.00 60.00 60.00
Element x y z (fractional)
1 Zn 0.0000 0.0000 0.0000
2 Os 0.3750 0.3750 0.3750
3 Os 0.3750 0.3750 0.8749
4 Os 0.3750 0.8749 0.3750
5 Os 0.8749 0.3750 0.3750
6 Au 0.7500 0.7500 0.7500

## Properties
Space group ... F-43m, No. 216
ΔH_f (0 K) ... 5.2 eV/f.u.

Entry 2:
Here is a geometry-optimized SiRu structure from the Alexandria database. Energies are from GGA-PBE.

abc: 4.6706 4.6706 4.6706
angles: 143.11 114.85 77.28
Element x y z (fractional)
1 Si 0.2428 0.0000 0.2428
2 Si 0.7572 0.0000 0.7572
3 Ru 0.2903 0.2903 0.0000
4 Ru 0.7097 0.7097 0.0000

## Properties
Space group ... Immm, No. 71
Uncorrected formation energy ... -0.596 eV per atom

In Å³/f.u., the volume values for the records above are, in order, 98; 27.
In eV/atom, the total energy values for the records above are, in order, -7.374; -7.946.